[1]
Rb2H2O3 after structural relaxation. Source: Alexandria via LeMat-Bulk, functional PBE-GGA.

a b c (Å): 4.5075 3.8494 6.7041
angles (deg): 97.87 70.39 90.03
Sites, in units of the cell vectors:
H  0.9255  0.4910  0.1475
H  0.0745  0.5090  0.8525
O  0.8782  0.7205  0.2418
O  0.0000  0.0000  0.0000
O  0.1218  0.2795  0.7582
Rb  0.6409  0.8203  0.7188
Rb  0.3591  0.1797  0.2812

Properties
* space group: P-1
* VASP energy: -4.290 eV/atom

=====

[2]
Rb4H3O5 after structural relaxation. Source: Alexandria via LeMat-Bulk, functional PBE-GGA.

a b c (Å): 4.2197 6.5625 10.0335
angles (deg): 52.26 77.86 71.25
Sites, in units of the cell vectors:
Rb  0.1691  0.0338  0.6281
Rb  0.1187  0.6646  0.0979
Rb  0.8813  0.3354  0.9021
Rb  0.8309  0.9662  0.3719
O  0.5482  0.1056  0.7981
O  0.6665  0.8305  0.8364
O  0.4518  0.8944  0.2019
O  0.5000  0.5000  0.5000
O  0.3335  0.1695  0.1636
H  0.4688  0.7137  0.3487
H  0.5312  0.2863  0.6513
H  0.0000  0.5000  0.5000

Properties
* space group: C2/m
* VASP energy: -3.904 eV/atom

=====

[3]
RbH4O after structural relaxation. Source: Alexandria via LeMat-Bulk, functional PBE-GGA.

a b c (Å): 4.9450 4.9448 5.6118
angles (deg): 63.75 63.74 84.39
Sites, in units of the cell vectors:
H  0.5652  0.5652  0.9454
H  0.9821  0.9821  0.8368
H  0.4348  0.4348  0.0546
H  0.0179  0.0179  0.1632
Rb  0.5000  0.5000  0.5000
O  0.0000  0.0000  0.0000

Properties
* space group: C2/m
* VASP energy: -3.504 eV/atom

=====

[4]
RbH6O3 after structural relaxation. Source: Alexandria via LeMat-Bulk, functional PBE-GGA.

a b c (Å): 4.8058 7.0214 7.0214
angles (deg): 114.96 103.19 103.19
Sites, in units of the cell vectors:
O  0.0273  0.0000  0.5947
O  0.4326  0.4053  0.4053
O  0.0273  0.5947  0.0000
H  0.1846  0.5269  0.0000
H  0.8524  0.0000  0.4899
H  0.1846  0.0000  0.5269
H  0.3625  0.5101  0.5101
H  0.6577  0.4731  0.4731
H  0.8524  0.4899  0.0000
Rb  0.0795  0.0000  0.0000

Properties
* space group: R3m
* VASP energy: -4.451 eV/atom

=====

[5]
Rb4H2O after structural relaxation. Source: Alexandria via LeMat-Bulk, functional PBE-GGA.

a b c (Å): 5.9482 5.9482 8.6791
angles (deg): 69.96 69.96 90.00
Sites, in units of the cell vectors:
H  0.5259  0.5259  0.9482
H  0.4741  0.4741  0.0518
Rb  0.5000  0.0000  0.0000
Rb  0.8225  0.8225  0.3550
Rb  0.0000  0.5000  0.0000
Rb  0.1775  0.1775  0.6450
O  0.0000  0.0000  0.0000

Properties
* space group: I4/mmm
* VASP energy: -2.602 eV/atom

=====

[6]
Rb5H3O3 after structural relaxation. Source: Alexandria via LeMat-Bulk, functional PBE-GGA.

a b c (Å): 3.2000 8.9372 8.9372
angles (deg): 120.00 90.00 90.00
Sites, in units of the cell vectors:
H  0.0000  0.0000  0.3824
H  0.0000  0.3824  0.0000
H  0.0000  0.6176  0.6176
Rb  0.5000  0.3333  0.6667
Rb  0.5000  0.6667  0.3333
Rb  0.5000  0.0000  0.7577
Rb  0.5000  0.7577  0.0000
Rb  0.5000  0.2423  0.2423
O  0.5000  0.3836  0.0000
O  0.5000  0.6164  0.6164
O  0.5000  0.0000  0.3836

Properties
* space group: P-62m
* VASP energy: -2.995 eV/atom

=====

[7]
Rb2H6O3 after structural relaxation. Source: Alexandria via LeMat-Bulk, functional PBE-GGA.

a b c (Å): 3.5905 6.1214 6.1214
angles (deg): 120.00 90.00 90.00
Sites, in units of the cell vectors:
Rb  0.0000  0.6667  0.3333
Rb  0.0000  0.3333  0.6667
O  0.5000  0.2327  0.2327
O  0.5000  0.7673  0.0000
O  0.5000  0.0000  0.7673
H  0.5000  0.0000  0.1521
H  0.0000  0.0871  0.0871
H  0.0000  0.9129  0.0000
H  0.0000  0.0000  0.9129
H  0.5000  0.8479  0.8479
H  0.5000  0.1521  0.0000

Properties
* space group: P-62m
* VASP energy: -3.960 eV/atom

=====

[8]
RbH2O after structural relaxation. Source: Alexandria via LeMat-Bulk, functional PBE-GGA.

a b c (Å): 6.3693 6.3693 6.3693
angles (deg): 77.76 77.76 77.76
Sites, in units of the cell vectors:
H  0.5000  0.8731  0.1269
H  0.1269  0.5000  0.8731
H  0.1269  0.8731  0.5000
H  0.5000  0.1269  0.8731
H  0.8731  0.1269  0.5000
H  0.8731  0.5000  0.1269
Rb  0.3201  0.3201  0.3201
Rb  0.0000  0.0000  0.0000
Rb  0.6799  0.6799  0.6799
O  0.0000  0.5000  0.0000
O  0.0000  0.0000  0.5000
O  0.5000  0.0000  0.0000

Properties
* energy relative to the lowest polymorph listed for this composition: 0.0 kJ/mol of formula units
* space group: R-3m

=====

[9]
Rb12H5O3 after structural relaxation. Source: Alexandria via LeMat-Bulk, functional PBE-GGA.

a b c (Å): 14.8016 14.8016 14.8016
angles (deg): 109.47 109.47 109.47
Sites, in units of the cell vectors:
Rb  0.5780  0.7209  0.6742
Rb  0.1742  0.0962  0.9533
Rb  0.8571  0.5780  0.9038
Rb  0.5780  0.8571  0.4038
Rb  0.1429  0.4220  0.0962
Rb  0.0962  0.1742  0.4533
Rb  0.1429  0.7209  0.5467
Rb  0.0962  0.9220  0.1429
Rb  0.3258  0.5467  0.4038
Rb  0.7791  0.4533  0.3571
Rb  0.8571  0.2791  0.4533
Rb  0.7209  0.1429  0.0467
Rb  0.5962  0.9533  0.6742
Rb  0.6742  0.2209  0.5780
Rb  0.4220  0.2791  0.3258
Rb  0.4533  0.7791  0.8571
Rb  0.8258  0.9220  0.2791
Rb  0.3258  0.7791  0.4220
Rb  0.8258  0.9038  0.0467
Rb  0.4038  0.3571  0.5780
Rb  0.0780  0.9038  0.3571
Rb  0.2209  0.5467  0.6429
Rb  0.9220  0.8258  0.7791
Rb  0.7209  0.5780  0.1742
Rb  0.2791  0.4220  0.8258
Rb  0.9533  0.3571  0.2791
Rb  0.6742  0.4533  0.5962
Rb  0.9533  0.5962  0.1742
Rb  0.6429  0.5962  0.9220
Rb  0.9038  0.8258  0.5467
Rb  0.3571  0.9533  0.7791
Rb  0.6429  0.0467  0.2209
Rb  0.2209  0.6742  0.0780
Rb  0.7791  0.3258  0.9220
Rb  0.3571  0.4038  0.0780
Rb  0.5467  0.2209  0.1429
Rb  0.9220  0.0962  0.6429
Rb  0.2791  0.8571  0.9533
Rb  0.5962  0.6429  0.4220
Rb  0.9038  0.0780  0.8571
Rb  0.4038  0.0467  0.3258
Rb  0.4533  0.6742  0.0962
Rb  0.0780  0.1742  0.2209
Rb  0.5467  0.3258  0.9038
Rb  0.0467  0.6429  0.7209
Rb  0.1742  0.0780  0.7209
Rb  0.4220  0.1429  0.5962
Rb  0.0467  0.4038  0.8258
H  0.7500  0.6250  0.3750
H  0.2500  0.8750  0.1250
H  0.3750  0.1250  0.7500
H  0.5000  0.5000  0.0000
H  0.1250  0.7500  0.3750
H  0.7500  0.1250  0.8750
H  0.6250  0.8750  0.2500
H  0.5000  0.0000  0.0000
H  0.8750  0.6250  0.7500
H  0.5000  0.0000  0.5000
H  0.0000  0.5000  0.0000
H  0.1250  0.3750  0.2500
H  0.2500  0.3750  0.6250
H  0.0000  0.0000  0.5000
H  0.0000  0.0000  0.0000
H  0.0000  0.5000  0.5000
H  0.8750  0.2500  0.6250
H  0.3750  0.2500  0.1250
H  0.6250  0.7500  0.8750
H  0.5000  0.5000  0.5000
O  0.6250  0.3750  0.7500
O  0.2500  0.6250  0.8750
O  0.3750  0.6250  0.2500
O  0.2500  0.1250  0.3750
O  0.1250  0.2500  0.8750
O  0.7500  0.8750  0.6250
O  0.8750  0.1250  0.2500
O  0.1250  0.8750  0.7500
O  0.7500  0.3750  0.1250
O  0.8750  0.7500  0.1250
O  0.3750  0.7500  0.6250
O  0.6250  0.2500  0.3750

Properties
* space group: Ia-3d
* VASP energy: -2.513 eV/atom

=====

[10]
RbH2O after structural relaxation. Source: Alexandria via LeMat-Bulk, functional PBE-GGA.

a b c (Å): 3.2827 3.2827 4.9732
angles (deg): 70.73 70.73 60.00
Sites, in units of the cell vectors:
O  0.5000  0.5000  0.5000
H  0.8177  0.8177  0.5470
H  0.1823  0.1823  0.4530
Rb  0.0000  0.0000  0.0000

Properties
* energy relative to the lowest polymorph listed for this composition: 347.3 kJ/mol of formula units
* space group: R-3m

=====

[11]
Rb3H5O2 after structural relaxation. Source: Alexandria via LeMat-Bulk, functional PBE-GGA.

a b c (Å): 5.1514 8.7721 8.7721
angles (deg): 58.43 72.92 72.92
Sites, in units of the cell vectors:
H  0.2500  0.5000  0.5000
H  0.7500  0.5000  0.5000
H  0.5368  0.3537  0.5727
H  0.9296  0.8204  0.8204
H  0.0368  0.5727  0.3537
H  0.4296  0.8204  0.8204
H  0.5704  0.1796  0.1796
H  0.0704  0.1796  0.1796
H  0.9632  0.4273  0.6463
H  0.4632  0.6463  0.4273
Rb  0.6606  0.5001  0.1787
Rb  0.2500  0.0000  0.0000
Rb  0.1606  0.1787  0.5001
Rb  0.7500  0.0000  0.0000
Rb  0.3394  0.4999  0.8213
Rb  0.8394  0.8213  0.4999
O  0.6730  0.8148  0.8392
O  0.3270  0.1852  0.1608
O  0.1730  0.8392  0.8148
O  0.8270  0.1608  0.1852

Properties
* space group: Ibam
* VASP energy: -3.250 eV/atom

=====

[12]
RbH4O2 after structural relaxation. Source: Alexandria via LeMat-Bulk, functional PBE-GGA.

a b c (Å): 2.8669 7.9300 7.9300
angles (deg): 90.00 90.00 90.00
Each line ends with the local moment (μB).
Sites, in units of the cell vectors:
H  0.5000  0.2034  0.7121  0.03
H  0.0000  0.2121  0.2966  0.03
H  0.0000  0.2966  0.2121  0.03
H  0.5000  0.2879  0.7966  0.03
H  0.5000  0.7966  0.2879  0.03
H  0.5000  0.7121  0.2034  0.03
H  0.0000  0.7879  0.7034  0.03
H  0.0000  0.7034  0.7879  0.03
O  0.5000  0.7402  0.7402  0.12
O  0.0000  0.7598  0.2402  0.12
O  0.5000  0.2598  0.2598  0.12
O  0.0000  0.2402  0.7598  0.12
Rb  0.0000  0.5000  0.5000  0.00
Rb  0.5000  0.0000  0.0000  0.00

Properties
* space group: P4_2/mnm
* VASP energy: -3.448 eV/atom

=====

[13]
Rb3H4O after structural relaxation. Source: Alexandria via LeMat-Bulk, functional PBE-GGA.

a b c (Å): 4.0739 4.3867 11.8319
angles (deg): 97.26 99.91 90.00
Sites, in units of the cell vectors:
Rb  0.0000  0.5000  0.0000
Rb  0.8432  0.8169  0.6863
Rb  0.1568  0.1831  0.3137
H  0.4564  0.0707  0.9129
H  0.5436  0.9293  0.0871
H  0.4105  0.1681  0.8210
H  0.5895  0.8319  0.1790
O  0.5000  0.0000  0.0000

Properties
* space group: C2/m
* VASP energy: -3.049 eV/atom

=====

[14]
RbH2O after structural relaxation. Source: Alexandria via LeMat-Bulk, functional PBE-GGA.

a b c (Å): 5.1893 5.1893 5.2143
angles (deg): 60.16 60.16 90.00
Sites, in units of the cell vectors:
H  0.3750  0.6250  0.2500
H  0.3750  0.6250  0.7500
H  0.3750  0.1250  0.2500
H  0.8750  0.6250  0.7500
Rb  0.7500  0.2500  0.5000
Rb  0.0000  0.0000  0.0000
O  0.2500  0.7500  0.5000
O  0.5000  0.5000  0.0000

Properties
* energy relative to the lowest polymorph listed for this composition: 201.8 kJ/mol of formula units
* space group: I4_1/amd

=====

[15]
Rb3HO2 after structural relaxation. Source: Alexandria via LeMat-Bulk, functional PBE-GGA.

a b c (Å): 7.7297 7.9194 7.9178
angles (deg): 51.03 60.78 60.79
Sites, in units of the cell vectors:
O  0.5001  0.8163  0.1836
O  0.9999  0.8164  0.1837
O  0.0001  0.1836  0.8163
O  0.4999  0.1837  0.8164
Rb  0.3889  0.8611  0.8611
Rb  0.8889  0.8611  0.8611
Rb  0.7500  0.5000  0.5000
Rb  0.6111  0.1390  0.1389
Rb  0.1111  0.1390  0.1389
Rb  0.2500  0.5000  0.5000
H  0.5000  0.0000  0.0000
H  0.0000  0.0000  0.0000

Properties
* energy relative to the lowest polymorph listed for this composition: 15.7 kJ/mol of formula units
* space group: Cmmm

=====

[16]
RbH2O after structural relaxation. Source: Alexandria via LeMat-Bulk, functional PBE-GGA.

a b c (Å): 4.2424 4.2424 4.2424
angles (deg): 60.00 60.00 60.00
Each line ends with the local moment (μB).
Sites, in units of the cell vectors:
Rb  0.5000  0.5000  0.5000  0.06
O  0.0000  0.0000  0.0000  -0.29
H  0.2500  0.2500  0.2500  0.29
H  0.7500  0.7500  0.7500  0.29

Properties
* energy relative to the lowest polymorph listed for this composition: 502.7 kJ/mol of formula units
* space group: Fm-3m

=====

[17]
Rb3HO3 after structural relaxation. Source: Alexandria via LeMat-Bulk, functional PBE-GGA.

a b c (Å): 5.5794 8.0191 8.0191
angles (deg): 120.00 90.00 90.00
Each line ends with the local moment (μB).
Sites, in units of the cell vectors:
Rb  0.2500  0.2991  0.3856  0.01
Rb  0.2500  0.0865  0.7009  0.01
Rb  0.7500  0.9135  0.2991  0.01
Rb  0.7500  0.3856  0.0865  0.01
Rb  0.7500  0.7009  0.6144  0.01
Rb  0.2500  0.6144  0.9135  0.01
O  0.2500  0.6937  0.5216  0.55
O  0.7500  0.5216  0.8279  0.55
O  0.7500  0.3063  0.4784  0.55
O  0.2500  0.4784  0.1721  0.55
O  0.7500  0.1721  0.6937  0.55
O  0.2500  0.8279  0.3063  0.55
H  0.2500  0.6667  0.3333  -0.02
H  0.7500  0.3333  0.6667  -0.02

Properties
* space group: P6_3/m
* VASP energy: -3.661 eV/atom

=====

[18]
Rb2HRhO after structural relaxation. Source: Alexandria via LeMat-Bulk, functional PBE-GGA.

a b c (Å): 6.0060 2.7896 6.0060
angles (deg): 90.00 90.00 90.00
Sites, in units of the cell vectors:
O  0.0000  0.0000  0.0000
Rb  0.0000  0.0000  0.5000
Rb  0.5000  0.0000  0.0000
Rh  0.5000  0.5000  0.5000
H  0.0000  0.5000  0.0000

Properties
* space group: P4/mmm
* VASP energy: -3.397 eV/atom

=====

[19]
RbHRh2O after structural relaxation. Source: Alexandria via LeMat-Bulk, functional PBE-GGA.

a b c (Å): 5.2327 4.7073 5.2327
angles (deg): 90.00 90.00 90.00
Each line ends with the local moment (μB).
Sites, in units of the cell vectors:
Rb  0.0000  0.0000  0.0000  0.06
Rh  0.5000  0.0000  0.0000  1.25
Rh  0.0000  0.0000  0.5000  1.21
O  0.0000  0.5000  0.0000  0.84
H  0.5000  0.5000  0.5000  0.21

Properties
* space group: P4/mmm
* VASP energy: -2.473 eV/atom